[1]
{
  "formula": "La4PdAu3",
  "functional": "PBE-GGA",
  "state": "relaxed",
  "lattice_angstrom": [[3.990, 0.000, 0.000], [0.000, 4.812, 0.000], [0.000, 0.000, 11.439]],
  "species": ["La", "La", "Pd", "La", "La", "Au", "Au", "Au"],
  "frac_coords": [[0.500, 0.500, 0.358], [0.000, 0.000, 0.134], [0.500, 0.500, 0.087], [0.500, 0.000, 0.636], [0.000, 0.500, 0.870], [0.000, 0.000, 0.412], [0.000, 0.500, 0.588], [0.500, 0.000, 0.915]],
  "formation_energy_ev_per_atom": -0.82,
  "n_ef_per_ev_fu": 6.89,
  "total_magnetization_mub_per_atom": 0.000
}

[2]
{
  "formula": "KPrCd17",
  "functional": "PBE-GGA",
  "state": "relaxed",
  "lattice_angstrom": [[7.711, 0.048, 0.963], [0.856, 7.663, 0.963], [0.053, 0.048, 7.771]],
  "species": ["Cd", "Cd", "Pr", "Cd", "Cd", "Cd", "K", "Cd", "Cd", "Cd", "Cd", "Cd", "Cd", "Cd", "Cd", "Cd", "Cd", "Cd", "Cd"],
  "frac_coords": [[0.633, 0.633, 0.182], [0.511, 0.990, 0.990], [0.331, 0.331, 0.331], [0.990, 0.990, 0.511], [0.350, 0.861, 0.350], [0.861, 0.350, 0.350], [0.663, 0.663, 0.663], [0.701, 0.297, 0.001], [0.990, 0.511, 0.990], [0.905, 0.905, 0.905], [0.633, 0.182, 0.633], [0.350, 0.350, 0.861], [0.297, 0.001, 0.701], [0.297, 0.701, 0.001], [0.001, 0.297, 0.701], [0.182, 0.633, 0.633], [0.105, 0.105, 0.105], [0.701, 0.001, 0.297], [0.001, 0.701, 0.297]],
  "formation_energy_ev_per_atom": -0.11,
  "n_ef_per_ev_fu": 6.92,
  "total_magnetization_mub_per_atom": 0.000
}

[3]
{
  "formula": "Cd2SNO",
  "functional": "PBE-GGA",
  "state": "relaxed",
  "lattice_angstrom": [[-3.096, -3.409, -0.365], [-0.035, -0.372, 3.763], [-3.428, 3.084, 0.272]],
  "species": ["O", "S", "Cd", "Cd", "N"],
  "frac_coords": [[0.000, 0.000, 0.000], [0.500, 0.500, 0.500], [0.500, 0.000, 0.000], [0.000, 0.000, 0.500], [0.000, 0.500, 0.000]],
  "n_ef_per_ev_fu": 1.88,
  "total_magnetization_mub_per_atom": 0.277,
  "formation_energy_uncorrected_kj_per_mol_fu": 316
}